The following is a PBE-GGA calculation of Hf2InTc after structural relaxation, from the Alexandria database.

Lattice parameters (Å, degrees): 6.168 6.168 6.168 102.47 102.47 124.61
Atoms (fractional coordinates):
Hf1 0.076 0.625 0.951
Hf2 0.375 0.326 0.451
Hf3 0.674 0.125 0.049
Hf4 0.875 0.924 0.549
In1 0.250 0.750 0.500
In2 0.500 0.500 0.000
Tc1 0.000 0.000 0.000
Tc2 0.750 0.250 0.500

Output
- DFT formation energy: 0.25 eV/atom
- Fermi-level density of states: 0.5120 states/eV/atom

=====

The following is a PBE-GGA calculation of ErHfIrRu after structural relaxation, from the Alexandria database.

Lattice parameters (Å, degrees): 3.334 3.334 6.598 90.00 90.00 90.00
Atoms (fractional coordinates):
Er1 0.000 0.000 0.000
Hf1 0.000 0.000 0.498
Ir1 0.500 0.500 0.732
Ru1 0.500 0.500 0.267

Output
- DFT formation energy: -0.81 eV/atom
- Fermi-level density of states: 0.4236 states/eV/atom
- Polymorph energy (0 for the lowest one): 0 meV per atom

=====

The following is a PBE-GGA calculation of Ba2Ga3Ir after structural relaxation, from the Alexandria database.

Lattice parameters (Å, degrees): 8.982 8.735 6.762 69.51 65.65 44.85
Atoms (fractional coordinates):
Ba1 0.236 0.764 0.236
Ba2 0.250 0.250 0.250
Ba3 0.750 0.750 0.750
Ba4 0.764 0.236 0.764
Ga1 0.162 0.662 0.838
Ga2 0.322 0.322 0.678
Ga3 0.338 0.838 0.662
Ga4 0.662 0.162 0.338
Ga5 0.678 0.678 0.322
Ga6 0.838 0.338 0.162
Ir1 0.157 0.157 0.843
Ir2 0.843 0.843 0.157

Output
- DFT formation energy: -0.39 eV/atom
- Fermi-level density of states: 0.7899 states/eV/atom

=====

The following is a PBE-GGA calculation of Rb5Cl2O after structural relaxation, from the Alexandria database.

Lattice parameters (Å, degrees): 6.326 8.125 8.178 74.25 67.25 67.14
Atoms (fractional coordinates):
Rb1 0.000 0.000 0.000
Rb2 0.122 0.330 0.426
Rb3 0.290 0.512 0.908
Rb4 0.560 0.665 0.213
Rb5 0.832 0.818 0.517
Cl1 0.264 0.880 0.592
Cl2 0.858 0.450 0.834
O1 0.062 0.665 0.213

Output
- Fermi-level density of states: 0.2532 states/eV/atom
- Polymorph energy (0 for the lowest one): 5 meV per atom

=====

The following is a PBE-GGA calculation of KLi2ZnGe after structural relaxation, from the Alexandria database.

Lattice parameters (Å, degrees): 5.109 5.109 4.925 90.00 90.00 90.00
Atoms (fractional coordinates):
K1 0.000 0.000 0.000
Li1 0.000 0.500 0.500
Li2 0.500 0.000 0.500
Zn1 0.500 0.500 0.000
Ge1 0.500 0.500 0.500

Output
- DFT formation energy: -0.08 eV/atom
- Fermi-level density of states: 0.2966 states/eV/atom

=====

The following is a PBE-GGA calculation of Sm6P2CI3 after structural relaxation, from the Alexandria database.

Lattice parameters (Å, degrees): 7.068 7.068 7.951 98.52 98.52 119.99
Atoms (fractional coordinates):
Sm1 0.060 0.370 0.179
Sm2 0.250 0.250 0.820
Sm3 0.370 0.060 0.179
Sm4 0.630 0.940 0.821
Sm5 0.750 0.750 0.180
Sm6 0.940 0.630 0.821
P1 0.334 0.666 0.000
P2 0.666 0.334 0.000
C1 0.000 0.000 0.000
I1 0.170 0.830 0.500
I2 0.500 0.500 0.500
I3 0.830 0.170 0.500

Output
- Fermi-level density of states: 0.2681 states/eV/atom
- Electronic total energy: -5.56 eV per atom

=====

The following is a PBE-GGA calculation of Cs3TeF after structural relaxation, from the Alexandria database.

Lattice parameters (Å, degrees): 8.498 13.453 9.124 90.00 90.00 90.00
Atoms (fractional coordinates):
Cs1 0.119 0.094 0.132
Cs2 0.119 0.406 0.132
Cs3 0.179 0.250 0.670
Cs4 0.321 0.750 0.170
Cs5 0.381 0.594 0.632
Cs6 0.381 0.906 0.632
Cs7 0.619 0.094 0.368
Cs8 0.619 0.406 0.368
Cs9 0.679 0.250 0.830
Cs10 0.821 0.750 0.330
Cs11 0.881 0.594 0.868
Cs12 0.881 0.906 0.868
Te1 0.000 0.000 0.500
Te2 0.000 0.500 0.500
Te3 0.500 0.000 0.000
Te4 0.500 0.500 0.000
F1 0.001 0.250 0.955
F2 0.499 0.750 0.455
F3 0.501 0.250 0.545
F4 0.999 0.750 0.045

Output
- Fermi-level density of states: 0.0000 states/eV/atom
- Polymorph energy (0 for the lowest one): 102 meV per atom

=====

The following is a PBE-GGA calculation of Sr2LiCd2 after structural relaxation, from the Alexandria database.

Lattice parameters (Å, degrees): 10.145 10.145 10.145 155.38 155.38 35.10
Atoms (fractional coordinates):
Sr1 0.108 0.108 0.000
Sr2 0.892 0.892 0.000
Li1 0.500 0.500 0.000
Cd1 0.250 0.750 0.500
Cd2 0.750 0.250 0.500

Output
- DFT formation energy: -0.05 eV/atom
- Fermi-level density of states: 1.0391 states/eV/atom
- Polymorph energy (0 for the lowest one): 211 meV per atom

=====

Record-wise calculated density values, in Mg/m³: 11.1; 14.5; 6.6; 2.4; 2.5; 6.9; 3.5; 3.7